## Ag3GeI (PBE)

Data for crystalline Ag3GeI at its relaxed geometry.

The density of states at the Fermi level is 0.941 states/eV/atom. Its crystal system is cubic. As for the energy above the lowest structure with this stoichiometry: 565 meV per atom.

The space group is Pm-3m (No. 221) and the conventional cell measures 5.396, 5.396 and 5.396 Å, with angles of 90.00, 90.00 and 90.00 degrees. The inequivalent atoms are Ag at (0.000, 0.000, 0.500), Ge at (0.500, 0.500, 0.500) and I at (0.000, 0.000, 0.000).